# 1
# Sm3Y3HoTe8 (GGA-PBE, relaxed)
# DFT total energy   -5.6206 eV/atom
# Total moment   0.00 μB/f.u.
data_Sm3Y3HoTe8
_cell_length_a 8.7631
_cell_length_b 8.7631
_cell_length_c 21.5304
_cell_angle_alpha 90.00
_cell_angle_beta 90.00
_cell_angle_gamma 120.00
_symmetry_space_group_name_H-M 'R -3 m'
_symmetry_Int_Tables_number 166
_symmetry_space_group_name_Hall '-R 3 2"'
loop_
_atom_site_label
_atom_site_type_symbol
_atom_site_fract_x
_atom_site_fract_y
_atom_site_fract_z
Sm1 Sm 0.0000 0.5000 0.0000
Y1 Y 0.0000 0.5000 0.5000
Ho1 Ho 0.0000 0.0000 0.5000
Te1 Te 0.0000 0.0000 0.2479
Te2 Te 0.0063 0.5032 0.7506



# 2
# Sm3YHo2Te6 (GGA-PBE, relaxed)
# DFT total energy   -5.3799 eV/atom
# Total moment   0.00 μB/f.u.
data_Sm3YHo2Te6
_cell_length_a 19.206
_cell_length_b 4.367
_cell_length_c 8.854
_cell_angle_alpha 90.00
_cell_angle_beta 103.97
_cell_angle_gamma 90.00
_symmetry_space_group_name_H-M 'C 1 2/m 1'
_symmetry_Int_Tables_number 12
loop_
_symmetry_equiv_pos_as_xyz
'x,y,z'
'-x,-y,-z'
'-x,y,-z'
'x,-y,z'
'x+1/2,y+1/2,z'
'-x+1/2,-y+1/2,-z'
'-x+1/2,y+1/2,-z'
'x+1/2,-y+1/2,z'
loop_
_atom_site_label
_atom_site_type_symbol
_atom_site_fract_x
_atom_site_fract_y
_atom_site_fract_z
Sm1 Sm 0.000 0.000 0.000
Sm2 Sm 0.165 0.500 0.333
Y1 Y 0.000 0.000 0.500
Ho1 Ho 0.166 0.500 0.833
Te1 Te 0.003 0.500 0.747
Te2 Te 0.166 0.000 0.589
Te3 Te 0.169 0.000 0.078



# 3
# Sm2YHoTe6 (GGA-PBE, relaxed)
# DFT total energy   -5.3057 eV/atom
# Total moment   0.00 μB/f.u.
data_Sm2YHoTe6
_cell_length_a 7.7757
_cell_length_b 7.7757
_cell_length_c 21.2021
_cell_angle_alpha 90.00
_cell_angle_beta 90.00
_cell_angle_gamma 120.00
_symmetry_space_group_name_H-M 'R 3'
_symmetry_Int_Tables_number 146
_symmetry_space_group_name_Hall 'R 3'
loop_
_atom_site_label
_atom_site_type_symbol
_atom_site_fract_x
_atom_site_fract_y
_atom_site_fract_z
Sm1 Sm 0.0000 0.0000 0.0000
Sm2 Sm 0.0000 0.0000 0.4997
Y1 Y 0.0000 0.0000 0.3119
Ho1 Ho 0.0000 0.0000 0.8122
Te1 Te 0.0106 0.6943 0.9033
Te2 Te 0.0123 0.3185 0.4035



# 4
# SmYHo2Te6 (GGA-PBE, relaxed)
# DFT total energy   -5.2853 eV/atom
# Total moment   0.00 μB/f.u.
data_SmYHo2Te6
_cell_length_a 7.7243
_cell_length_b 7.7243
_cell_length_c 21.1139
_cell_angle_alpha 90.00
_cell_angle_beta 90.00
_cell_angle_gamma 120.00
_symmetry_space_group_name_H-M 'R 3'
_symmetry_Int_Tables_number 146
_symmetry_space_group_name_Hall 'R 3'
loop_
_atom_site_label
_atom_site_type_symbol
_atom_site_fract_x
_atom_site_fract_y
_atom_site_fract_z
Sm1 Sm 0.0000 0.0000 0.0000
Y1 Y 0.0000 0.0000 0.5016
Ho1 Ho 0.0000 0.0000 0.1868
Ho2 Ho 0.0000 0.0000 0.6880
Te1 Te 0.0204 0.3492 0.7628
Te2 Te 0.0283 0.6777 0.2621



# 5
# Sm2Y3HoTe6 (GGA-PBE, relaxed)
# DFT total energy   -5.6797 eV/atom
# Total moment   0.00 μB/f.u.
data_Sm2Y3HoTe6
_cell_length_a 19.118
_cell_length_b 4.364
_cell_length_c 8.820
_cell_angle_alpha 90.00
_cell_angle_beta 103.06
_cell_angle_gamma 90.00
_symmetry_space_group_name_H-M 'C 1 2/m 1'
_symmetry_Int_Tables_number 12
loop_
_symmetry_equiv_pos_as_xyz
'x,y,z'
'-x,-y,-z'
'-x,y,-z'
'x,-y,z'
'x+1/2,y+1/2,z'
'-x+1/2,-y+1/2,-z'
'-x+1/2,y+1/2,-z'
'x+1/2,-y+1/2,z'
loop_
_atom_site_label
_atom_site_type_symbol
_atom_site_fract_x
_atom_site_fract_y
_atom_site_fract_z
Sm1 Sm 0.170 0.000 0.337
Y1 Y 0.000 0.500 0.500
Y2 Y 0.171 0.000 0.834
Ho1 Ho 0.000 0.500 0.000
Te1 Te 0.002 0.000 0.753
Te2 Te 0.164 0.500 0.077
Te3 Te 0.164 0.500 0.587



# 6
# SmY2HoTe6 (GGA-PBE, relaxed)
# DFT total energy   -5.4822 eV/atom
# Total moment   0.00 μB/f.u.
data_SmY2HoTe6
_cell_length_a 7.7311
_cell_length_b 7.7311
_cell_length_c 21.1526
_cell_angle_alpha 90.00
_cell_angle_beta 90.00
_cell_angle_gamma 120.00
_symmetry_space_group_name_H-M 'R 3'
_symmetry_Int_Tables_number 146
_symmetry_space_group_name_Hall 'R 3'
loop_
_atom_site_label
_atom_site_type_symbol
_atom_site_fract_x
_atom_site_fract_y
_atom_site_fract_z
Sm1 Sm 0.0000 0.0000 0.0000
Y1 Y 0.0000 0.0000 0.1867
Y2 Y 0.0000 0.0000 0.6878
Ho1 Ho 0.0000 0.0000 0.5014
Te1 Te 0.9997 0.3159 0.0954
Te2 Te 0.0268 0.6735 0.2608



# 7
# SmY3Ho2Te6 (GGA-PBE, relaxed)
# DFT total energy   -5.6443 eV/atom
# Total moment   0.00 μB/f.u.
data_SmY3Ho2Te6
_cell_length_a 19.036
_cell_length_b 4.350
_cell_length_c 8.779
_cell_angle_alpha 90.00
_cell_angle_beta 103.09
_cell_angle_gamma 90.00
_symmetry_space_group_name_H-M 'C 1 2/m 1'
_symmetry_Int_Tables_number 12
loop_
_symmetry_equiv_pos_as_xyz
'x,y,z'
'-x,-y,-z'
'-x,y,-z'
'x,-y,z'
'x+1/2,y+1/2,z'
'-x+1/2,-y+1/2,-z'
'-x+1/2,y+1/2,-z'
'x+1/2,-y+1/2,z'
loop_
_atom_site_label
_atom_site_type_symbol
_atom_site_fract_x
_atom_site_fract_y
_atom_site_fract_z
Sm1 Sm 0.000 0.000 0.000
Y1 Y 0.000 0.000 0.500
Y2 Y 0.162 0.500 0.834
Ho1 Ho 0.164 0.500 0.330
Te1 Te 0.001 0.500 0.256
Te2 Te 0.168 0.000 0.582
Te3 Te 0.170 0.000 0.087



# 8
# Sm4YHo3Te8 (GGA-PBE, relaxed)
# DFT total energy   -5.3343 eV/atom
# Total moment   0.00 μB/f.u.
data_Sm4YHo3Te8
_cell_length_a 8.7301
_cell_length_b 8.7301
_cell_length_c 21.8342
_cell_angle_alpha 90.00
_cell_angle_beta 90.00
_cell_angle_gamma 120.00
_symmetry_space_group_name_H-M 'R -3 m'
_symmetry_Int_Tables_number 166
_symmetry_space_group_name_Hall '-R 3 2"'
loop_
_atom_site_label
_atom_site_type_symbol
_atom_site_fract_x
_atom_site_fract_y
_atom_site_fract_z
Sm1 Sm 0.0000 0.0000 0.0000
Sm2 Sm 0.0000 0.5000 0.0000
Y1 Y 0.0000 0.0000 0.5000
Ho1 Ho 0.0000 0.5000 0.5000
Te1 Te 0.0000 0.0000 0.2467
Te2 Te 0.0012 0.5006 0.7530



# 9
# Sm2YHoTe5 (GGA-PBE, relaxed)
# DFT total energy   -4.7850 eV/atom
# Total moment   0.59 μB/f.u.
data_Sm2YHoTe5
_cell_length_a 5.528
_cell_length_b 5.528
_cell_length_c 11.538
_cell_angle_alpha 90.00
_cell_angle_beta 90.00
_cell_angle_gamma 90.00
_symmetry_space_group_name_H-M 'P 4/m m m'
_symmetry_Int_Tables_number 123
_symmetry_space_group_name_Hall '-P 4 2'
loop_
_atom_site_label
_atom_site_type_symbol
_atom_site_fract_x
_atom_site_fract_y
_atom_site_fract_z
Sm1 Sm 0.000 0.000 0.158
Y1 Y 0.500 0.500 0.500
Ho1 Ho 0.500 0.500 0.000
Te1 Te 0.000 0.000 0.500
Te2 Te 0.000 0.500 0.000
Te3 Te 0.500 0.500 0.254



# 10
# Sm3Ho2Th2 (GGA-PBE, relaxed)
# DFT total energy   -5.4144 eV/atom
# Energy above the lowest structure with this stoichiometry   0.00 eV/f.u.
# Total moment   0.00 μB/f.u.
# E_form   0.036 eV/atom
data_Sm3Ho2Th2
_cell_length_a 3.603
_cell_length_b 6.168
_cell_length_c 10.756
_cell_angle_alpha 84.74
_cell_angle_beta 89.99
_cell_angle_gamma 73.11
_symmetry_space_group_name_H-M 'P -1'
_symmetry_Int_Tables_number 2
loop_
_symmetry_equiv_pos_as_xyz
'x,y,z'
'-x,-y,-z'
loop_
_atom_site_label
_atom_site_type_symbol
_atom_site_fract_x
_atom_site_fract_y
_atom_site_fract_z
Sm1 Sm 0.000 0.000 0.000
Sm2 Sm 0.142 0.715 0.576
Ho1 Ho 0.426 0.147 0.718
Th1 Th 0.284 0.433 0.140



# 11
# SmHoTh (GGA-PBE, relaxed)
# DFT total energy   -5.4299 eV/atom
# Energy above the lowest structure with this stoichiometry   0.36 eV/f.u.
# Total moment   0.00 μB/f.u.
# E_form   0.142 eV/atom
data_SmHoTh
_cell_length_a 3.5041
_cell_length_b 3.5041
_cell_length_c 18.5608
_cell_angle_alpha 90.00
_cell_angle_beta 90.00
_cell_angle_gamma 120.00
_symmetry_space_group_name_H-M 'P 63 m c'
_symmetry_Int_Tables_number 186
_symmetry_space_group_name_Hall 'P 6c -2c'
loop_
_atom_site_label
_atom_site_type_symbol
_atom_site_fract_x
_atom_site_fract_y
_atom_site_fract_z
Sm1 Sm 0.3333 0.6667 0.0000
Ho1 Ho 0.0000 0.0000 0.1570
Th1 Th 0.3333 0.6667 0.8156



# 12
# SmHo2Th (GGA-PBE, relaxed)
# DFT total energy   -5.2836 eV/atom
# Energy above the lowest structure with this stoichiometry   0.12 eV/f.u.
# Total moment   0.00 μB/f.u.
# E_form   0.040 eV/atom
data_SmHo2Th
_cell_length_a 5.058
_cell_length_b 5.058
_cell_length_c 4.988
_cell_angle_alpha 90.00
_cell_angle_beta 90.00
_cell_angle_gamma 90.00
_symmetry_space_group_name_H-M 'P 4/m m m'
_symmetry_Int_Tables_number 123
_symmetry_space_group_name_Hall '-P 4 2'
loop_
_atom_site_label
_atom_site_type_symbol
_atom_site_fract_x
_atom_site_fract_y
_atom_site_fract_z
Sm1 Sm 0.000 0.000 0.000
Ho1 Ho 0.000 0.500 0.500
Th1 Th 0.500 0.500 0.000



# 13
# Sm2HoTh2 (GGA-PBE, relaxed)
# DFT total energy   -5.3192 eV/atom
# Energy above the lowest structure with this stoichiometry   1.20 eV/f.u.
# Total moment   0.00 μB/f.u.
# E_form   0.452 eV/atom
data_Sm2HoTh2
_cell_length_a 3.486
_cell_length_b 16.923
_cell_length_c 23.201
_cell_angle_alpha 90.00
_cell_angle_beta 90.00
_cell_angle_gamma 90.00
_symmetry_space_group_name_H-M 'F d d d'
_symmetry_Int_Tables_number 70
loop_
_symmetry_equiv_pos_as_xyz
'x,y,z'
'-x,-y,-z'
'-x+1/4,-y+1/4,z'
'x+1/4,y+1/4,-z'
'x,-y+1/4,-z+1/4'
'-x,y+1/4,z+1/4'
'-x+1/4,y,-z+1/4'
'x+1/4,-y,z+1/4'
'x,y+1/2,z+1/2'
'-x,-y+1/2,-z+1/2'
'-x+1/4,-y+3/4,z+1/2'
'x+1/4,y+3/4,-z+1/2'
'x,-y+3/4,-z+3/4'
'-x,y+3/4,z+3/4'
'-x+1/4,y+1/2,-z+3/4'
'x+1/4,-y+1/2,z+3/4'
'x+1/2,y,z+1/2'
'-x+1/2,-y,-z+1/2'
'-x+3/4,-y+1/4,z+1/2'
'x+3/4,y+1/4,-z+1/2'
'x+1/2,-y+1/4,-z+3/4'
'-x+1/2,y+1/4,z+3/4'
'-x+3/4,y,-z+3/4'
'x+3/4,-y,z+3/4'
'x+1/2,y+1/2,z'
'-x+1/2,-y+1/2,-z'
'-x+3/4,-y+3/4,z'
'x+3/4,y+3/4,-z'
'x+1/2,-y+3/4,-z+1/4'
'-x+1/2,y+3/4,z+1/4'
'-x+3/4,y+1/2,-z+1/4'
'x+3/4,-y+1/2,z+1/4'
loop_
_atom_site_label
_atom_site_type_symbol
_atom_site_fract_x
_atom_site_fract_y
_atom_site_fract_z
Sm1 Sm 0.125 0.296 0.125
Ho1 Ho 0.125 0.125 0.625
Th1 Th 0.000 0.000 0.500



# 14
# Sm2HoTh2 (GGA-PBE, relaxed)
# DFT total energy   -5.5587 eV/atom
# Energy above the lowest structure with this stoichiometry   0.00 eV/f.u.
# Total moment   0.00 μB/f.u.
# E_form   0.212 eV/atom
data_Sm2HoTh2
_cell_length_a 8.462
_cell_length_b 16.361
_cell_length_c 6.172
_cell_angle_alpha 90.00
_cell_angle_beta 125.94
_cell_angle_gamma 90.00
_symmetry_space_group_name_H-M 'C 1 2/c 1'
_symmetry_Int_Tables_number 15
loop_
_symmetry_equiv_pos_as_xyz
'x,y,z'
'-x,-y,-z'
'-x,y,-z+1/2'
'x,-y,z+1/2'
'x+1/2,y+1/2,z'
'-x+1/2,-y+1/2,-z'
'-x+1/2,y+1/2,-z+1/2'
'x+1/2,-y+1/2,z+1/2'
loop_
_atom_site_label
_atom_site_type_symbol
_atom_site_fract_x
_atom_site_fract_y
_atom_site_fract_z
Sm1 Sm 0.237 0.072 0.068
Ho1 Ho 0.000 0.397 0.250
Th1 Th 0.108 0.220 0.594



# 15
# Sm12HoTh7 (GGA-PBE, relaxed)
# DFT total energy   -4.7546 eV/atom
# Total moment   1.31 μB/f.u.
# E_form   0.903 eV/atom
data_Sm12HoTh7
_cell_length_a 11.559
_cell_length_b 11.559
_cell_length_c 11.559
_cell_angle_alpha 90.00
_cell_angle_beta 90.00
_cell_angle_gamma 90.00
_symmetry_space_group_name_H-M 'I m -3'
_symmetry_Int_Tables_number 204
_symmetry_space_group_name_Hall '-I 2 2 3'
loop_
_atom_site_label
_atom_site_type_symbol
_atom_site_fract_x
_atom_site_fract_y
_atom_site_fract_z
Sm1 Sm 0.000 0.299 0.229
Ho1 Ho 0.000 0.000 0.000
Th1 Th 0.000 0.000 0.500
Th2 Th 0.250 0.250 0.250



# 16
# Sm7Ho16Th6 (GGA-PBE, relaxed)
# DFT total energy   -4.8768 eV/atom
# Total moment   0.00 μB/f.u.
# E_form   0.323 eV/atom
data_Sm7Ho16Th6
_cell_length_a 15.667
_cell_length_b 15.667
_cell_length_c 15.667
_cell_angle_alpha 90.00
_cell_angle_beta 90.00
_cell_angle_gamma 90.00
_symmetry_space_group_name_H-M 'F m -3 m'
_symmetry_Int_Tables_number 225
_symmetry_space_group_name_Hall '-F 4 2 3'
loop_
_atom_site_label
_atom_site_type_symbol
_atom_site_fract_x
_atom_site_fract_y
_atom_site_fract_z
Sm1 Sm 0.000 0.000 0.000
Sm2 Sm 0.000 0.250 0.250
Ho1 Ho 0.121 0.121 0.121
Ho2 Ho 0.158 0.158 0.342
Th1 Th 0.000 0.000 0.331



# 17
# SmHoTh (GGA-PBE, relaxed)
# DFT total energy   -5.5489 eV/atom
# Energy above the lowest structure with this stoichiometry   0.00 eV/f.u.
# Total moment   0.00 μB/f.u.
# E_form   0.023 eV/atom
data_SmHoTh
_cell_length_a 3.5880
_cell_length_b 3.5880
_cell_length_c 52.3474
_cell_angle_alpha 90.00
_cell_angle_beta 90.00
_cell_angle_gamma 120.00
_symmetry_space_group_name_H-M 'R -3 m'
_symmetry_Int_Tables_number 166
_symmetry_space_group_name_Hall '-R 3 2"'
loop_
_atom_site_label
_atom_site_type_symbol
_atom_site_fract_x
_atom_site_fract_y
_atom_site_fract_z
Sm1 Sm 0.0000 0.0000 0.1950
Ho1 Ho 0.0000 0.0000 0.0820
Th1 Th 0.0000 0.0000 0.3605



# 18
# SmHoTh4 (GGA-PBE, relaxed)
# DFT total energy   -6.2231 eV/atom
# Energy above the lowest structure with this stoichiometry   1.39 eV/f.u.
# Total moment   0.00 μB/f.u.
# E_form   0.273 eV/atom
data_SmHoTh4
_cell_length_a 9.381
_cell_length_b 9.381
_cell_length_c 9.381
_cell_angle_alpha 90.00
_cell_angle_beta 90.00
_cell_angle_gamma 90.00
_symmetry_space_group_name_H-M 'F -4 3 m'
_symmetry_Int_Tables_number 216
_symmetry_space_group_name_Hall 'F -4 2 3'
loop_
_atom_site_label
_atom_site_type_symbol
_atom_site_fract_x
_atom_site_fract_y
_atom_site_fract_z
Sm1 Sm 0.000 0.000 0.000
Ho1 Ho 0.250 0.250 0.750
Th1 Th 0.125 0.125 0.375



# 19
# Sm10HoTh4 (GGA-PBE, relaxed)
# DFT total energy   -5.0535 eV/atom
# Total moment   0.00 μB/f.u.
# E_form   0.376 eV/atom
data_Sm10HoTh4
_cell_length_a 9.814
_cell_length_b 9.814
_cell_length_c 10.769
_cell_angle_alpha 90.00
_cell_angle_beta 90.00
_cell_angle_gamma 90.00
_symmetry_space_group_name_H-M 'I 4/m'
_symmetry_Int_Tables_number 87
_symmetry_space_group_name_Hall '-I 4'
loop_
_atom_site_label
_atom_site_type_symbol
_atom_site_fract_x
_atom_site_fract_y
_atom_site_fract_z
Sm1 Sm 0.000 0.500 0.250
Sm2 Sm 0.117 0.211 0.159
Ho1 Ho 0.000 0.000 0.500
Th1 Th 0.060 0.335 0.500



# 20
# SmHo6Th (GGA-PBE, relaxed)
# DFT total energy   -4.7225 eV/atom
# Energy above the lowest structure with this stoichiometry   1.60 eV/f.u.
# Total moment   0.00 μB/f.u.
# E_form   0.228 eV/atom
data_SmHo6Th
_cell_length_a 6.534
_cell_length_b 6.721
_cell_length_c 6.793
_cell_angle_alpha 61.50
_cell_angle_beta 78.86
_cell_angle_gamma 89.34
_symmetry_space_group_name_H-M 'P -1'
_symmetry_Int_Tables_number 2
loop_
_symmetry_equiv_pos_as_xyz
'x,y,z'
'-x,-y,-z'
loop_
_atom_site_label
_atom_site_type_symbol
_atom_site_fract_x
_atom_site_fract_y
_atom_site_fract_z
Sm1 Sm 0.000 0.000 0.000
Ho1 Ho 0.233 0.573 0.519
Ho2 Ho 0.252 0.543 0.005
Ho3 Ho 0.270 0.089 0.483
Th1 Th 0.500 0.000 0.000